## PrHoGa2Au2 (PBE)

Data for an optimized crystal structure of PrHoGa2Au2.

Summary:
Energy of formation = -0.78 eV per atom

Cell lengths 4.563, 4.563, 7.358 Å; angles 90.00, 90.00, 120.00 degrees
Sites, in units of the cell vectors:
Pr 0.000 0.000 0.000
Ho 0.000 0.000 0.500
Ga 0.333 0.667 0.729
Ga 0.667 0.333 0.271
Au 0.333 0.667 0.277
Au 0.667 0.333 0.723



## ErGa2Ni (PBE)

Data for an optimized crystal structure of ErGa2Ni.

Summary:
Energy of formation = -0.56 eV per atom

Cell lengths 5.510, 5.510, 5.510 Å; angles 43.46, 43.46, 43.46 degrees
Sites, in units of the cell vectors:
Er 0.000 0.000 0.000
Ga 0.214 0.214 0.214
Ga 0.786 0.786 0.786
Ni 0.500 0.500 0.500



## RbTlAsP (PBE)

Data for an optimized crystal structure of RbTlAsP.

Summary:
ΔE to the lowest computed polymorph = 379 meV per atom
Energy of formation = 0.18 eV per atom

Cell lengths 8.961, 8.961, 8.961 Å; angles 158.23, 153.57, 34.50 degrees
Sites, in units of the cell vectors:
Rb 0.000 0.000 0.000
Tl 0.774 0.274 0.500
As 0.644 0.644 0.000
P 0.368 0.368 0.000



## Cs3Tm3PuTe8 (PBE)

Data for an optimized crystal structure of Cs3Tm3PuTe8.

Summary:
E_form (uncorrected) = -1.25 eV per atom

Cell lengths 10.444, 10.444, 10.444 Å; angles 50.42, 50.42, 50.42 degrees
Sites, in units of the cell vectors:
Cs 0.000 0.500 0.500
Cs 0.500 0.000 0.500
Cs 0.500 0.500 0.000
Tm 0.000 0.000 0.500
Tm 0.000 0.500 0.000
Tm 0.500 0.000 0.000
Pu 0.500 0.500 0.500
Te 0.225 0.731 0.731
Te 0.229 0.229 0.229
Te 0.269 0.269 0.775
Te 0.269 0.775 0.269
Te 0.731 0.225 0.731
Te 0.731 0.731 0.225
Te 0.771 0.771 0.771
Te 0.775 0.269 0.269



## LiTlAgBr4 (PBE)

Data for an optimized crystal structure of LiTlAgBr4.

Summary:
E_form (uncorrected) = -0.70 eV per atom

Cell lengths 6.950, 7.770, 7.983 Å; angles 90.00, 98.09, 90.00 degrees
Sites, in units of the cell vectors:
Li 0.229 0.250 0.355
Li 0.771 0.750 0.645
Tl 0.294 0.250 0.938
Tl 0.706 0.750 0.062
Ag 0.274 0.750 0.625
Ag 0.726 0.250 0.375
Br 0.039 0.250 0.598
Br 0.056 0.750 0.881
Br 0.454 0.008 0.258
Br 0.454 0.492 0.258
Br 0.546 0.508 0.742
Br 0.546 0.992 0.742
Br 0.944 0.250 0.119
Br 0.961 0.750 0.402



## AgSnHPd2 (PBE)

Data for an optimized crystal structure of AgSnHPd2.

Summary:
ΔE to the lowest computed polymorph = 0 meV per atom

Cell lengths 4.188, 4.188, 4.095 Å; angles 90.00, 90.00, 90.00 degrees
Sites, in units of the cell vectors:
Ag 0.000 0.000 0.000
Sn 0.500 0.500 0.000
H 0.000 0.000 0.500
Pd 0.000 0.500 0.500
Pd 0.500 0.000 0.500



## Zr2Be16Zn (PBE)

Data for an optimized crystal structure of Zr2Be16Zn.

Summary:
Energy of formation = -0.22 eV per atom

Cell lengths 5.739, 5.739, 5.739 Å; angles 82.82, 82.82, 82.82 degrees
Sites, in units of the cell vectors:
Zr 0.000 0.000 0.000
Zr 0.321 0.321 0.321
Be 0.005 0.005 0.494
Be 0.005 0.494 0.005
Be 0.165 0.655 0.655
Be 0.316 0.316 0.818
Be 0.316 0.818 0.316
Be 0.366 0.658 0.949
Be 0.366 0.949 0.658
Be 0.494 0.005 0.005
Be 0.555 0.555 0.555
Be 0.655 0.165 0.655
Be 0.655 0.655 0.165
Be 0.658 0.366 0.949
Be 0.658 0.949 0.366
Be 0.818 0.316 0.316
Be 0.949 0.366 0.658
Be 0.949 0.658 0.366
Zn 0.754 0.754 0.754



## Pm3TmAl2 (PBE)

Data for an optimized crystal structure of Pm3TmAl2.

Summary:
ΔE to the lowest computed polymorph = 71 meV per atom
Energy of formation = -0.20 eV per atom

Cell lengths 7.956, 7.956, 4.422 Å; angles 90.00, 90.00, 143.96 degrees
Sites, in units of the cell vectors:
Pm 0.000 0.000 0.000
Pm 0.324 0.676 0.000
Pm 0.676 0.324 0.000
Tm 0.500 0.500 0.500
Al 0.153 0.847 0.500
Al 0.847 0.153 0.500



## SbPtI2Br (PBE)

Data for an optimized crystal structure of SbPtI2Br.

Summary:
E_form (uncorrected) = 0.21 eV per atom
ΔE to the lowest computed polymorph = 0 meV per atom

Cell lengths 5.526, 5.526, 5.271 Å; angles 90.00, 90.00, 90.00 degrees
Sites, in units of the cell vectors:
Sb 0.000 0.000 0.000
Pt 0.000 0.000 0.500
I 0.000 0.500 0.500
I 0.500 0.000 0.500
Br 0.500 0.500 0.000



## Tb3Pm2Y6Ho (PBE)

Data for an optimized crystal structure of Tb3Pm2Y6Ho.

Summary:
Energy of formation = 0.02 eV per atom

Cell lengths 6.197, 6.197, 11.841 Å; angles 94.98, 94.98, 119.96 degrees
Sites, in units of the cell vectors:
Tb 0.000 0.000 0.000
Tb 0.333 0.667 0.000
Tb 0.667 0.333 0.000
Pm 0.167 0.833 0.500
Pm 0.833 0.167 0.500
Y 0.083 0.416 0.249
Y 0.251 0.251 0.751
Y 0.416 0.083 0.249
Y 0.584 0.917 0.751
Y 0.749 0.749 0.249
Y 0.917 0.584 0.751
Ho 0.500 0.500 0.500



## LaY2In9 (PBE)

Data for an optimized crystal structure of LaY2In9.

Summary:
Energy of formation = -0.45 eV per atom

Cell lengths 4.697, 4.697, 14.061 Å; angles 90.00, 90.00, 90.00 degrees
Sites, in units of the cell vectors:
La 0.000 0.000 0.000
Y 0.000 0.000 0.337
Y 0.000 0.000 0.663
In 0.000 0.500 0.172
In 0.000 0.500 0.500
In 0.000 0.500 0.828
In 0.500 0.000 0.172
In 0.500 0.000 0.500
In 0.500 0.000 0.828
In 0.500 0.500 0.000
In 0.500 0.500 0.335
In 0.500 0.500 0.665



## SiWBr2 (PBE)

Data for an optimized crystal structure of SiWBr2.

Summary:
E_form (uncorrected) = 0.56 eV per atom
ΔE to the lowest computed polymorph = 433 meV per atom

Cell lengths 7.047, 7.047, 7.047 Å; angles 96.79, 96.79, 139.77 degrees
Sites, in units of the cell vectors:
Si 0.000 0.000 0.000
Si 0.750 0.250 0.500
W 0.250 0.750 0.500
W 0.500 0.500 0.000
Br 0.266 0.625 0.141
Br 0.375 0.516 0.641
Br 0.484 0.125 0.859
Br 0.875 0.734 0.359



## Tb2CoBr (PBE)

Data for an optimized crystal structure of Tb2CoBr.

Summary:
E_form (uncorrected) = -0.74 eV per atom

Cell lengths 7.942, 7.942, 7.942 Å; angles 28.25, 28.25, 28.25 degrees
Sites, in units of the cell vectors:
Tb 0.230 0.230 0.230
Tb 0.770 0.770 0.770
Co 0.500 0.500 0.500
Br 0.000 0.000 0.000



## TaMn4Nb3 (PBE)

Data for an optimized crystal structure of TaMn4Nb3.

Summary:
Energy of formation = -0.15 eV per atom

Cell lengths 3.068, 3.068, 12.275 Å; angles 90.00, 90.00, 90.00 degrees
Sites, in units of the cell vectors:
Ta 0.000 0.000 0.000
Mn 0.500 0.500 0.124
Mn 0.500 0.500 0.375
Mn 0.500 0.500 0.625
Mn 0.500 0.500 0.876
Nb 0.000 0.000 0.250
Nb 0.000 0.000 0.500
Nb 0.000 0.000 0.750



## Cu5Br4 (PBE)

Data for an optimized crystal structure of Cu5Br4.

Summary:
E_form (uncorrected) = 0.21 eV per atom
ΔE to the lowest computed polymorph = 87 meV per atom

Cell lengths 7.434, 7.434, 8.111 Å; angles 90.00, 90.00, 120.00 degrees
Sites, in units of the cell vectors:
Cu 0.000 0.201 0.250
Cu 0.000 0.799 0.750
Cu 0.201 0.000 0.250
Cu 0.201 0.201 0.750
Cu 0.333 0.667 0.000
Cu 0.333 0.667 0.500
Cu 0.667 0.333 0.000
Cu 0.667 0.333 0.500
Cu 0.799 0.000 0.750
Cu 0.799 0.799 0.250
Br 0.000 0.000 0.000
Br 0.000 0.000 0.500
Br 0.000 0.481 0.750
Br 0.000 0.519 0.250
Br 0.481 0.000 0.750
Br 0.481 0.481 0.250
Br 0.519 0.000 0.250
Br 0.519 0.519 0.750



## Sm3B2Pt9Au (PBE)

Data for an optimized crystal structure of Sm3B2Pt9Au.

Summary:
Energy of formation = -0.76 eV per atom

Cell lengths 5.762, 5.762, 9.587 Å; angles 90.00, 90.00, 120.00 degrees
Sites, in units of the cell vectors:
Sm 0.000 0.000 0.000
Sm 0.333 0.667 0.610
Sm 0.667 0.333 0.390
B 0.333 0.667 0.145
B 0.667 0.333 0.855
Pt 0.000 0.500 0.000
Pt 0.165 0.330 0.276
Pt 0.165 0.835 0.276
Pt 0.330 0.165 0.724
Pt 0.500 0.000 0.000
Pt 0.500 0.500 0.000
Pt 0.670 0.835 0.276
Pt 0.835 0.165 0.724
Pt 0.835 0.670 0.724
Au 0.000 0.000 0.500



## CaTm2Al (PBE)

Data for an optimized crystal structure of CaTm2Al.

Summary:
ΔE to the lowest computed polymorph = 0 meV per atom
Energy of formation = -0.14 eV per atom

Cell lengths 3.561, 3.561, 9.154 Å; angles 90.00, 90.00, 90.00 degrees
Sites, in units of the cell vectors:
Ca 0.000 0.000 0.000
Tm 0.500 0.500 0.307
Tm 0.500 0.500 0.693
Al 0.000 0.000 0.500



## TaCdPt (PBE)

Data for an optimized crystal structure of TaCdPt.

Summary:
Energy of formation = -0.22 eV per atom

Cell lengths 5.061, 2.875, 7.518 Å; angles 90.00, 101.62, 90.00 degrees
Sites, in units of the cell vectors:
Ta 0.224 0.000 0.144
Ta 0.776 0.000 0.856
Cd 0.000 0.000 0.500
Cd 0.500 0.500 0.500
Pt 0.270 0.500 0.840
Pt 0.730 0.500 0.160



## SmEuRhPb (PBE)

Data for an optimized crystal structure of SmEuRhPb.

Summary:
Energy of formation = -0.39 eV per atom

Cell lengths 5.282, 5.282, 5.282 Å; angles 60.00, 60.00, 60.00 degrees
Sites, in units of the cell vectors:
Sm 0.000 0.000 0.000
Eu 0.500 0.500 0.500
Rh 0.250 0.250 0.250
Pb 0.750 0.750 0.750



## Ti3MoPb (PBE)

Data for an optimized crystal structure of Ti3MoPb.

Summary:
ΔE to the lowest computed polymorph = 0 meV per atom
Energy of formation = 0.10 eV per atom

Cell lengths 6.513, 6.513, 6.513 Å; angles 90.00, 90.00, 90.00 degrees
Sites, in units of the cell vectors:
Ti 0.000 0.000 0.000
Ti 0.276 0.276 0.276
Ti 0.276 0.276 0.724
Ti 0.276 0.724 0.276
Ti 0.276 0.724 0.724
Ti 0.724 0.276 0.276
Ti 0.724 0.276 0.724
Ti 0.724 0.724 0.276
Ti 0.724 0.724 0.724
Mo 0.000 0.500 0.500
Mo 0.500 0.000 0.500
Mo 0.500 0.500 0.000
Pb 0.000 0.000 0.500
Pb 0.000 0.500 0.000
Pb 0.500 0.000 0.000